Entry 1:
# HfTa2H2, relaxed, DFT GGA-PBE
# Relative energy among the computed polymorphs ... 193 meV/atom
# Size of the total moment ... 0.00 μB/atom
# Calculated density ... 14.21 g/cm³
# Uncorrected energy ... -8.159 eV/atom
data_HfTa2H2
_chemical_formula_sum 'Hf2 Ta4 H4'
_space_group_name_H-M_alt 'P 1'
_space_group_IT_number 1
_space_group_name_Hall 'P 1'
_cell_length_a 3.483
_cell_length_b 3.483
_cell_length_c 10.446
_cell_angle_alpha 90.00
_cell_angle_beta 90.00
_cell_angle_gamma 90.00
loop_
_atom_site_label
_atom_site_fract_x
_atom_site_fract_y
_atom_site_fract_z
_atom_site_occupancy
Hf1 0.000 0.000 0.000 1
Hf2 0.500 0.500 0.500 1
Ta1 0.000 0.000 0.337 1
Ta2 0.000 0.000 0.663 1
Ta3 0.500 0.500 0.163 1
Ta4 0.500 0.500 0.837 1
H1 0.000 0.500 0.250 1
H2 0.000 0.500 0.750 1
H3 0.500 0.000 0.250 1
H4 0.500 0.000 0.750 1



Entry 2:
# HfTaH, relaxed, DFT GGA-PBE
# Size of the total moment ... 0.00 μB/atom
# Calculated density ... 14.08 g/cm³
# Uncorrected energy ... -8.498 eV/atom
data_HfTaH
_chemical_formula_sum 'Hf2 Ta2 H2'
_space_group_name_H-M_alt 'P 1'
_space_group_IT_number 1
_space_group_name_Hall 'P 1'
_cell_length_a 4.990
_cell_length_b 3.394
_cell_length_c 5.021
_cell_angle_alpha 90.00
_cell_angle_beta 90.79
_cell_angle_gamma 90.00
loop_
_atom_site_label
_atom_site_fract_x
_atom_site_fract_y
_atom_site_fract_z
_atom_site_occupancy
Hf1 0.005 0.250 0.256 1
Hf2 0.995 0.750 0.744 1
Ta1 0.498 0.250 0.734 1
Ta2 0.502 0.750 0.266 1
H1 0.379 0.750 0.895 1
H2 0.621 0.250 0.105 1



Entry 3:
# Hf2Ta2H, relaxed, DFT GGA-PBE
# Relative energy among the computed polymorphs ... 0 meV/atom
# Size of the total moment ... 0.00 μB/atom
# Calculated density ... 13.63 g/cm³
# Uncorrected energy ... -9.002 eV/atom
data_Hf2Ta2H
_chemical_formula_sum 'Hf4 Ta4 H2'
_space_group_name_H-M_alt 'P 1'
_space_group_IT_number 1
_space_group_name_Hall 'P 1'
_cell_length_a 5.648
_cell_length_b 5.648
_cell_length_c 5.499
_cell_angle_alpha 90.00
_cell_angle_beta 90.00
_cell_angle_gamma 90.00
loop_
_atom_site_label
_atom_site_fract_x
_atom_site_fract_y
_atom_site_fract_z
_atom_site_occupancy
Hf1 0.168 0.332 0.000 1
Hf2 0.332 0.832 0.000 1
Hf3 0.668 0.168 0.000 1
Hf4 0.832 0.668 0.000 1
Ta1 0.172 0.672 0.500 1
Ta2 0.328 0.172 0.500 1
Ta3 0.672 0.828 0.500 1
Ta4 0.828 0.328 0.500 1
H1 0.000 0.000 0.000 1
H2 0.500 0.500 0.000 1



Entry 4:
# HfTa2TiH, relaxed, DFT GGA-PBE
# Relative energy among the computed polymorphs ... 12 meV/atom
# Size of the total moment ... 0.00 μB/atom
# Calculated density ... 12.46 g/cm³
# Uncorrected energy ... -8.928 eV/atom
data_HfTa2TiH
_chemical_formula_sum 'Hf1 Ta2 Ti1 H1'
_space_group_name_H-M_alt 'P 1'
_space_group_IT_number 1
_space_group_name_Hall 'P 1'
_cell_length_a 4.083
_cell_length_b 4.083
_cell_length_c 4.710
_cell_angle_alpha 90.00
_cell_angle_beta 90.00
_cell_angle_gamma 90.00
loop_
_atom_site_label
_atom_site_fract_x
_atom_site_fract_y
_atom_site_fract_z
_atom_site_occupancy
Hf1 0.000 0.000 0.000 1
Ta1 0.000 0.500 0.500 1
Ta2 0.500 0.000 0.500 1
Ti1 0.500 0.500 0.000 1
H1 0.000 0.000 0.500 1



Entry 5:
# HfTaTi2H, relaxed, DFT GGA-PBE
# Relative energy among the computed polymorphs ... 0 meV/atom
# Size of the total moment ... 0.00 μB/atom
# Calculated density ... 9.92 g/cm³
# Uncorrected energy ... -8.208 eV/atom
data_HfTaTi2H
_chemical_formula_sum 'Hf1 Ta1 Ti2 H1'
_space_group_name_H-M_alt 'P 1'
_space_group_IT_number 1
_space_group_name_Hall 'P 1'
_cell_length_a 4.090
_cell_length_b 4.090
_cell_length_c 4.566
_cell_angle_alpha 90.00
_cell_angle_beta 90.00
_cell_angle_gamma 90.00
loop_
_atom_site_label
_atom_site_fract_x
_atom_site_fract_y
_atom_site_fract_z
_atom_site_occupancy
Hf1 0.000 0.000 0.000 1
Ta1 0.500 0.500 0.000 1
Ti1 0.000 0.500 0.500 1
Ti2 0.500 0.000 0.500 1
H1 0.000 0.000 0.500 1



Entry 6:
# Hf2TaTiH, relaxed, DFT GGA-PBE
# Relative energy among the computed polymorphs ... 30 meV/atom
# Size of the total moment ... 0.14 μB/atom
# Calculated density ... 11.86 g/cm³
# Uncorrected energy ... -8.588 eV/atom
data_Hf2TaTiH
_chemical_formula_sum 'Hf2 Ta1 Ti1 H1'
_space_group_name_H-M_alt 'P 1'
_space_group_IT_number 1
_space_group_name_Hall 'P 1'
_cell_length_a 4.632
_cell_length_b 4.632
_cell_length_c 3.831
_cell_angle_alpha 90.00
_cell_angle_beta 90.00
_cell_angle_gamma 90.00
loop_
_atom_site_label
_atom_site_fract_x
_atom_site_fract_y
_atom_site_fract_z
_atom_site_occupancy
Hf1 0.000 0.500 0.000 1
Hf2 0.500 0.000 0.000 1
Ta1 0.000 0.000 0.500 1
Ti1 0.500 0.500 0.500 1
H1 0.000 0.000 0.000 1